1.
VASP calculation (PBE) on a relaxed GdZnCo crystal.

Output
For the calculated total energy, the calculation gives -7.57 eV/atom.

Unit cell a=3.310 b=3.310 c=9.858 alpha=90.00 beta=90.00 gamma=90.00
Space group I4mm (No. 107)
Asymmetric unit:
Gd (0.000, 0.000, 0.000)
Zn (0.000, 0.000, 0.710)
Co (0.000, 0.000, 0.318)

2.
VASP calculation (PBE) on a relaxed GdZrCo crystal.

Output
For the calculated total energy, the calculation gives -9.98 eV/atom.

Unit cell a=3.319 b=3.319 c=11.535 alpha=90.00 beta=90.00 gamma=90.00
Space group I4mm (No. 107)
Asymmetric unit:
Gd (0.000, 0.000, 0.000)
Zr (0.000, 0.000, 0.281)
Co (0.000, 0.000, 0.671)

3.
VASP calculation (PBE) on a relaxed GdZrCo2 crystal.

Output
For the calculated total energy, the calculation gives -9.35 eV/atom. Its energy above the most stable polymorph in this dataset is 6.5 kJ per mole of atoms.

Unit cell a=6.570 b=6.570 c=6.570 alpha=90.00 beta=90.00 gamma=90.00
Space group Fm-3m (No. 225)
Asymmetric unit:
Gd (0.000, 0.000, 0.000)
Zr (0.000, 0.000, 0.500)
Co (0.250, 0.250, 0.250)

4.
VASP calculation (PBE) on a relaxed GdZrCo2 crystal.

Output
For the calculated total energy, the calculation gives -9.42 eV/atom. Its energy above the most stable polymorph in this dataset is 0.0 kJ per mole of atoms.

Unit cell a=3.243 b=3.243 c=6.687 alpha=90.00 beta=90.00 gamma=90.00
Space group P4/mmm (No. 123)
Asymmetric unit:
Gd (0.000, 0.000, 0.000)
Zr (0.000, 0.000, 0.500)
Co (0.500, 0.500, 0.282)

| no. | ΔE_f (eV per atom) |
| --- | --- |
| 1 | -0.0848 |
| 2 | -0.0643 |
| 3 | -0.1393 |
| 4 | -0.2069 |